Below is AcNdTl2 after structural relaxation, with properties calculated at the PBE-GGA level. Values from VASP.

* symmetry: P4/mmm, No. 123
* total magnetization: 0.00 μB/cell

Cell and atoms, written as Quantum ESPRESSO input:
```
&SYSTEM
  ibrav = 0, nat = 4, ntyp = 3
/
ATOMIC_SPECIES
Ac 227.00 Ac.upf
Nd 144.24 Nd.upf
Tl 204.38 Tl.upf
ATOMIC_POSITIONS crystal
Ac 0.0000 0.0000 0.0000
Nd 0.0000 0.0000 0.5000
Tl 0.5000 0.5000 0.2692
Tl 0.5000 0.5000 0.7308
CELL_PARAMETERS angstrom
4.0175 0.0000 0.0000
0.0000 4.0175 0.0000
0.0000 0.0000 8.0364
```



Below is Ac2NdTl3 after structural relaxation, with properties calculated at the PBE-GGA level. Values from VASP.

* symmetry: P4/mmm, No. 123
* polymorph energy (0 for the lowest one): 0.000 eV per atom
* total magnetization: 0.00 μB/cell

Cell and atoms, written as Quantum ESPRESSO input:
```
&SYSTEM
  ibrav = 0, nat = 6, ntyp = 3
/
ATOMIC_SPECIES
Ac 227.00 Ac.upf
Nd 144.24 Nd.upf
Tl 204.38 Tl.upf
ATOMIC_POSITIONS crystal
Ac 0.0000 0.0000 0.1737
Ac 0.0000 0.0000 0.8263
Nd 0.0000 0.0000 0.5000
Tl 0.5000 0.5000 0.0000
Tl 0.5000 0.5000 0.3509
Tl 0.5000 0.5000 0.6491
CELL_PARAMETERS angstrom
4.0427 0.0000 0.0000
0.0000 4.0427 0.0000
0.0000 0.0000 12.2620
```



| no. | calculated volume (Å³/atom) | DFT total energy (eV per atom) | energy of formation from the pure elements (eV per atom) |
| --- | --- | --- | --- |
| 1 | 32.43 | -3.77 | -0.37 |
| 2 | 33.40 | -3.71 | -0.36 |